# 1
# KClF3 (PBE-GGA, relaxed)
# ΔE to the lowest computed polymorph = 148 meV per atom
# Raw formation energy = -1.0653 eV/atom
# ρ = 1.507 Mg/m³
# M_tot = 3.0 μB/f.u.
data_KClF3
_space_group_name_H-M_alt 'R 3 m'
_space_group_IT_number 160
_space_group_name_Hall 'R 3 -2"'
_cell_length_a 7.0499
_cell_length_b 7.0499
_cell_length_c 10.1023
_cell_angle_alpha 90.00
_cell_angle_beta 90.00
_cell_angle_gamma 120.00
loop_
_atom_site_label
_atom_site_fract_x
_atom_site_fract_y
_atom_site_fract_z
_atom_site_occupancy
K1 0.0000 0.0000 0.0000 1
Cl1 0.0000 0.0000 0.3286 1
F1 0.1905 0.3809 0.8769 1


# 2
# LiPdN (PBE-GGA, relaxed)
# ΔE to the lowest computed polymorph = 68 meV per atom
# Raw formation energy = -0.1617 eV/atom
# ρ = 5.058 Mg/m³
# M_tot = 0.0 μB/f.u.
data_LiPdN
_space_group_name_H-M_alt 'P 1 2/m 1'
_space_group_IT_number 10
_cell_length_a 4.5223
_cell_length_b 2.9019
_cell_length_c 6.3916
_cell_angle_alpha 90.00
_cell_angle_beta 94.40
_cell_angle_gamma 90.00
loop_
_space_group_symop_operation_xyz
'x,y,z'
'-x,-y,-z'
'-x,y,-z'
'x,-y,z'
loop_
_atom_site_label
_atom_site_fract_x
_atom_site_fract_y
_atom_site_fract_z
_atom_site_occupancy
Li1 0.2351 0.0000 0.2128 1
Pd1 0.2760 0.5000 0.8563 1
N1 0.0128 0.5000 0.4085 1


# 3
# RbCePuO6 (PBE-GGA, relaxed)
# Raw formation energy = -2.5806 eV/atom
# ρ = 5.298 Mg/m³
# M_tot = 1.0 μB/f.u.
data_RbCePuO6
_space_group_name_H-M_alt 'I m m a'
_space_group_IT_number 74
_space_group_name_Hall '-I 2b 2'
_cell_length_a 7.8169
_cell_length_b 8.1701
_cell_length_c 11.1031
_cell_angle_alpha 90.00
_cell_angle_beta 90.00
_cell_angle_gamma 90.00
loop_
_atom_site_label
_atom_site_fract_x
_atom_site_fract_y
_atom_site_fract_z
_atom_site_occupancy
Rb1 0.0000 0.2500 0.1146 1
Ce1 0.2500 0.2500 0.7500 1
Pu1 0.0000 0.0000 0.5000 1
O1 0.0000 0.2500 0.4570 1
O2 0.0000 0.2500 0.8282 1
O3 0.1789 0.0363 0.6213 1


# 4
# RbNaGe2H (PBE-GGA, relaxed)
# ρ = 2.179 Mg/m³
# M_tot = 1.0 μB/f.u.
data_RbNaGe2H
_space_group_name_H-M_alt 'P 4/m m m'
_space_group_IT_number 123
_space_group_name_Hall '-P 4 2'
_cell_length_a 5.1586
_cell_length_b 5.1586
_cell_length_c 7.2955
_cell_angle_alpha 90.00
_cell_angle_beta 90.00
_cell_angle_gamma 90.00
loop_
_atom_site_label
_atom_site_fract_x
_atom_site_fract_y
_atom_site_fract_z
_atom_site_occupancy
Rb1 0.0000 0.0000 0.0000 1
Na1 0.0000 0.0000 0.5000 1
Ge1 0.0000 0.5000 0.5000 1
H1 0.5000 0.5000 0.0000 1


# 5
# Hf2V2As (PBE-GGA, relaxed)
# Energy of formation from the pure elements = -0.0998 eV/atom
# ρ = 10.050 Mg/m³
# M_tot = 0.0 μB/f.u.
data_Hf2V2As
_space_group_name_H-M_alt 'P 4/m b m'
_space_group_IT_number 127
_space_group_name_Hall '-P 4 2ab'
_cell_length_a 6.4843
_cell_length_b 6.4843
_cell_length_c 4.1951
_cell_angle_alpha 90.00
_cell_angle_beta 90.00
_cell_angle_gamma 90.00
loop_
_atom_site_label
_atom_site_fract_x
_atom_site_fract_y
_atom_site_fract_z
_atom_site_occupancy
Hf1 0.1725 0.3275 0.0000 1
V1 0.1288 0.6288 0.5000 1
As1 0.0000 0.0000 0.5000 1


# 6
# Pu2MgGa (PBE-GGA, relaxed)
# Energy of formation from the pure elements = 0.2955 eV/atom
# ρ = 14.200 Mg/m³
# M_tot = 0.0 μB/f.u.
data_Pu2MgGa
_space_group_name_H-M_alt 'P 4/m m m'
_space_group_IT_number 123
_space_group_name_Hall '-P 4 2'
_cell_length_a 3.6245
_cell_length_b 3.6245
_cell_length_c 5.1811
_cell_angle_alpha 90.00
_cell_angle_beta 90.00
_cell_angle_gamma 90.00
loop_
_atom_site_label
_atom_site_fract_x
_atom_site_fract_y
_atom_site_fract_z
_atom_site_occupancy
Pu1 0.0000 0.5000 0.0000 1
Mg1 0.0000 0.0000 0.5000 1
Ga1 0.5000 0.5000 0.5000 1


no.,total DFT energy (no corrections) (Ha/atom)
1,-0.102
2,-0.195
3,-0.303
4,-0.073
5,-0.318
6,-0.295